A plane-wave DFT calculation with PBEsol was carried out for a relaxed structure of NaHf3O.

Structure (POSCAR):
```
NaHf3O
1.0
4.446 0.000 0.000
0.000 4.446 0.000
0.000 0.000 4.446
Na Hf O
1 3 1
Cartesian
0.000 0.000 0.000
0.000 2.223 2.223
2.223 0.000 2.223
2.223 2.223 0.000
2.223 2.223 2.223
```

=====

A plane-wave DFT calculation with PBEsol was carried out for a relaxed structure of NaHf2O.

Structure (POSCAR):
```
NaHf2O
1.0
-3.288 3.288 4.005
3.288 -3.288 4.005
3.288 3.288 -4.005
Na Hf O
2 4 2
Cartesian
0.000 0.000 0.000
0.000 3.288 2.002
1.644 2.627 -1.001
3.949 1.644 1.001
1.644 0.661 3.003
-0.661 1.644 5.006
3.288 0.000 2.002
0.000 0.000 4.005
```

=====

Number 1: formation energy from raw total energies -577 meV/atom, D(E_F) 0.524 states/eV per atom. Number 2: formation energy from raw total energies -609 meV/atom, D(E_F) 0.835 states/eV per atom.